VASP calculation (PBE-GGA) on a relaxed ZrFeCoB2 crystal.

Cell: 3.493 3.493 4.952 Å, 110.65 110.65 90.00°
Sites, in units of the cell vectors:
B  0.380  0.380  0.761
Fe  0.750  0.250  0.500
B  0.620  0.620  0.239
Co  0.250  0.750  0.500
Zr  0.000  0.000  0.000

Computed properties:
* ΔH_f (0 K): -0.5867 eV/atom
* theoretical density: 7.22 Mg/m³